Crystalline DyPuNi2O6 at its relaxed geometry, computed with PBE+U.

Output
total DFT energy (no corrections): -76.3 eV for the cell shown

abc: 5.8048 5.8048 5.8048
angles: 55.79 55.79 55.79
Last column: nearest neighbours and their distance in Å.
Atoms (fractional coordinates):
Dy (0.0000, 0.0000, 0.0000)  6 O 2.23-2.33
Pu (0.4905, 0.4905, 0.4905)  6 O 2.15-2.17
Ni (0.2870, 0.2870, 0.2870)  6 O 2.05-2.23
Ni (0.7946, 0.7946, 0.7946)  6 O 2.07-2.18
O (0.0822, 0.6709, 0.4246)  2 Ni 2.07-2.23, 1 Pu 2.15, 1 Dy 2.23
O (0.1906, 0.5730, 0.9046)  2 Ni 2.05-2.18, 1 Pu 2.17
O (0.4246, 0.0822, 0.6709)  2 Ni 2.07-2.23, 1 Pu 2.15, 1 Dy 2.23
O (0.5730, 0.9046, 0.1906)  2 Ni 2.05-2.18, 1 Pu 2.17
O (0.6709, 0.4246, 0.0822)  2 Ni 2.07-2.23, 1 Pu 2.15, 1 Dy 2.23
O (0.9046, 0.1906, 0.5730)  2 Ni 2.05-2.18, 1 Pu 2.17